This record from Alexandria describes a crystal of Zr3SnRh relaxed with PBEsol. The functional is SCAN.

Unit cell a=4.9327 b=4.9327 c=4.9327 alpha=90.00 beta=90.00 gamma=90.00
Last column: nearest neighbours and their distance in Å.
Space group Pm-3m (No. 221)
Inequivalent atoms, fractional coordinates:
Zr  0.0000  0.0000  0.5000  2 Rh 2.47
Sn  0.5000  0.5000  0.5000  12 Zr 3.49
Rh  0.0000  0.0000  0.0000  6 Zr 2.47

Calculated values
formation energy from the elements	-190	meV/atom

This record from Alexandria describes a crystal of KBaTa2 relaxed with PBEsol. The functional is SCAN.

Unit cell a=6.3294 b=6.3294 c=2.8403 alpha=90.00 beta=90.00 gamma=90.00
Last column: nearest neighbours and their distance in Å.
Space group P4/mmm (No. 123)
Inequivalent atoms, fractional coordinates:
K  0.0000  0.0000  0.0000  2 K 2.84
Ba  0.5000  0.5000  0.0000  2 Ba 2.84
Ta  0.0000  0.5000  0.5000  2 Ta 2.84

Calculated values
formation energy from the elements	2065	meV/atom
energy above the lowest structure with this stoichiometry	1101	meV per atom

This record from Alexandria describes a crystal of MnBiAsO5 relaxed with PBEsol. The functional is SCAN.

Unit cell a=5.3466 b=6.8783 c=6.9025 alpha=109.40 beta=95.87 gamma=109.67
Last column: nearest neighbours and their distance in Å.
Space group P-1 (No. 2)
Inequivalent atoms, fractional coordinates:
Mn  0.1737  0.2795  0.1351  6 O 2.09-2.27
Bi  0.4186  0.9809  0.7436  4 O 2.14-2.34
As  0.1466  0.3820  0.6787  4 O 1.71-1.73
O  0.0663  0.2048  0.4150  1 As 1.73
O  0.1441  0.5905  0.2591  1 As 1.71
O  0.2307  0.9521  0.9977  2 Mn 2.09-2.27, 2 Bi 2.14-2.26
O  0.2730  0.2766  0.8429  1 As 1.73
O  0.4102  0.6307  0.7183  1 As 1.72

Calculated values
E_tot	-20.078	eV per atom

This record from Alexandria describes a crystal of Sr5Mg3 relaxed with PBEsol. The functional is SCAN.

Unit cell a=10.3067 b=10.3067 c=7.1627 alpha=90.00 beta=90.00 gamma=120.00
Last column: nearest neighbours and their distance in Å.
Space group P6_3/mcm (No. 193)
Inequivalent atoms, fractional coordinates:
Sr  0.0000  0.2503  0.2500  5 Mg 3.57-3.91
Sr  0.3333  0.6667  0.0000  2 Sr 3.58, 6 Mg 3.61
Mg  0.0000  0.4031  0.7500  9 Sr 3.57-3.91

Calculated values
formation energy from the elements	1	meV/atom
energy above the lowest structure with this stoichiometry	12	meV per atom